Entry from the Alexandria database: an optimized crystal structure of MgV2O2 (GGA+U).

The space group is I4/mmm (No. 139) and the conventional cell measures 3.383, 3.383 and 10.642 Å, with angles of 90.00, 90.00 and 90.00 degrees. Symmetry generates all atoms from Mg at (0.000, 0.000, 0.000), V at (0.000, 0.500, 0.250) and O at (0.000, 0.000, 0.374).

The value obtained for the uncorrected energy is -5.7043 eV per atom. As for the total moment: 0.00 Bohr magnetons per cell. The density of states at the Fermi level comes out at 0.323 states/eV/atom. The calculation puts the volume at 12.18 Å³/atom. The energy above the most stable polymorph in this dataset comes out at 0.472 eV/atom.